(1)
The following is a PBE calculation of a relaxed NaCu2Sn crystal, from Alexandria.

## Properties
* crystal system: monoclinic
* Fermi-level density of states: 1.30 states/eV/f.u.
* ΔE_f: -0.002 eV/atom
* VASP energy: -13.52 eV/f.u.

Structure (extended XYZ):
```
8
Lattice="4.3730 -0.0076 0.0000 -2.1909 5.7100 0.0000 0.0000 0.0000 7.1264" Properties=species:S:1:pos:R:3 pbc="T T T"
Na 2.1979 0.6927 1.7816
Cu 2.1840 2.6684 6.5751
Sn 2.1869 3.9840 1.7816
Cu 2.1840 2.6684 4.1145
Cu -0.0019 3.0340 3.0119
Cu -0.0019 3.0340 0.5513
Na -0.0158 5.0096 5.3448
Sn -0.0048 1.7184 5.3448
```



(2)
The following is a PBE calculation of a relaxed NaCu2Sn2 crystal, from Alexandria.

## Properties
* crystal system: monoclinic
* Fermi-level density of states: 2.16 states/eV/f.u.
* ΔE_f: -0.020 eV/atom
* VASP energy: -17.61 eV/f.u.
* excess energy over the best structure of this formula in the dataset: 0 meV/atom

Structure (extended XYZ):
```
5
Lattice="-4.4585 -0.7771 -0.4308 1.3667 -3.8967 -1.9013 1.1220 -0.6180 5.7555" Properties=species:S:1:pos:R:3 pbc="T T T"
Sn -1.5380 -2.9617 0.1907
Cu -2.7819 -1.6835 2.1654
Sn -0.4318 -2.3300 3.2327
Cu 0.8122 -3.6082 1.2581
Na 0.0000 0.0000 0.0000
```



(3)
The following is a PBE calculation of a relaxed NaCuSn2 crystal, from Alexandria.

## Properties
* crystal system: orthorhombic
* Fermi-level density of states: 0.72 states/eV/f.u.
* ΔE_f: -0.094 eV/atom
* VASP energy: -13.80 eV/f.u.

Structure (extended XYZ):
```
32
Lattice="6.0775 0.0000 0.0000 0.0000 7.3600 0.0000 0.0000 0.0000 16.7075" Properties=species:S:1:pos:R:3 pbc="T T T"
Sn 6.0565 3.3368 13.1011
Sn 0.0210 7.0168 3.6064
Sn 1.5421 0.3291 8.9065
Sn 1.4966 0.3291 0.5528
Sn 0.0210 4.0232 3.6064
Cu 1.4757 1.8400 11.2070
Cu 3.0941 5.5200 9.6293
Cu 0.0553 1.8400 15.4319
Sn 1.5421 3.3509 8.9065
Sn 3.0178 7.0168 11.9601
Na 2.9165 1.8400 14.3779
Na 5.9552 5.5200 10.6833
Sn 6.0565 0.3432 13.1011
Sn 4.5354 7.0309 7.8009
Na 1.6462 5.5200 14.8276
Sn 4.5808 4.0091 16.1546
Na 0.1223 1.8400 6.0242
Sn 3.0597 0.3432 4.7473
Sn 3.0597 3.3368 4.7473
Cu 6.0221 5.5200 1.2756
Sn 4.5354 4.0091 7.8009
Na 1.3925 5.5200 6.4739
Na 4.4312 1.8400 1.8799
Sn 3.0178 4.0232 11.9601
Cu 4.6018 5.5200 5.5005
Cu 1.5630 1.8400 2.8532
Sn 4.5808 7.0309 16.1546
Cu 4.5144 5.5200 13.8542
Na 3.1610 5.5200 2.3296
Sn 1.4966 3.3509 0.5528
Na 4.6850 1.8400 10.2336
Cu 2.9834 1.8400 7.0782
```



(4)
The following is a PBE calculation of a relaxed NaCuSn2 crystal, from Alexandria.

## Properties
* crystal system: tetragonal
* Fermi-level density of states: 1.69 states/eV/f.u.
* ΔE_f: -0.048 eV/atom
* VASP energy: -13.61 eV/f.u.

Structure (extended XYZ):
```
4
Lattice="3.2689 0.0000 0.0000 0.0000 3.2689 0.0000 0.0000 0.0000 8.5337" Properties=species:S:1:pos:R:3 pbc="T T T"
Sn 0.0000 0.0000 6.8304
Sn 0.0000 0.0000 1.7034
Na 1.6345 1.6345 4.2669
Cu 1.6345 1.6345 0.0000
```



(5)
The following is a PBE calculation of a relaxed NaCu2Sn2 crystal, from Alexandria.

## Properties
* crystal system: tetragonal
* Fermi-level density of states: 2.38 states/eV/f.u.
* ΔE_f: 0.028 eV/atom
* VASP energy: -17.38 eV/f.u.
* excess energy over the best structure of this formula in the dataset: 47 meV/atom

Structure (extended XYZ):
```
10
Lattice="7.9009 0.0000 0.0000 0.0000 7.9009 0.0000 0.0000 0.0000 3.2192" Properties=species:S:1:pos:R:3 pbc="T T T"
Cu 4.9023 0.9519 0.0000
Cu 6.9490 4.9023 0.0000
Cu 2.9986 6.9490 0.0000
Sn 6.5548 2.6043 1.6096
Na 3.9505 3.9505 0.0000
Cu 0.9519 2.9986 0.0000
Sn 1.3462 5.2966 1.6096
Sn 5.2966 6.5548 1.6096
Sn 2.6043 1.3462 1.6096
Na 0.0000 0.0000 0.0000
```



(6)
The following is a PBE calculation of a relaxed NaCuSn2 crystal, from Alexandria.

## Properties
* crystal system: cubic
* Fermi-level density of states: 0.20 states/eV/f.u.
* ΔE_f: 0.078 eV/atom
* VASP energy: -13.11 eV/f.u.

Structure (extended XYZ):
```
4
Lattice="1.6514 -0.3014 4.6808 -0.2277 3.9761 2.9777 -3.2241 0.0905 3.7848" Properties=species:S:1:pos:R:3 pbc="T T T"
Sn -0.4501 0.9413 2.8608
Cu -0.9002 1.8826 5.7216
Sn -1.3503 2.8239 8.5825
Na 0.0000 0.0000 0.0000
```



(7)
The following is a PBE calculation of a relaxed NaCu2Sn7 crystal, from Alexandria.

## Properties
* crystal system: orthorhombic
* Fermi-level density of states: 5.97 states/eV/f.u.
* ΔE_f: 0.137 eV/atom
* VASP energy: -36.16 eV/f.u.

Structure (extended XYZ):
```
10
Lattice="-3.9521 -1.3274 1.9365 -0.2817 -6.5503 -5.0647 3.9420 -1.2684 7.1756" Properties=species:S:1:pos:R:3 pbc="T T T"
Sn -0.6401 -1.5154 3.1109
Sn -0.1459 -4.5730 2.0237
Sn 2.9849 -2.4653 4.4018
Cu -0.9234 -5.5453 -0.2295
Sn 0.6754 -5.3534 -2.2909
Sn 0.3484 -7.6307 0.9366
Sn 1.5306 -6.1522 4.3627
Na 0.0000 0.0000 0.0000
Cu 0.6316 -3.6007 4.2769
Sn -1.8224 -2.9938 -0.3153
```



(8)
The following is a PBE calculation of a relaxed NaCu3Sn2 crystal, from Alexandria.

## Properties
* crystal system: monoclinic
* Fermi-level density of states: 1.88 states/eV/f.u.
* ΔE_f: -0.020 eV/atom
* VASP energy: -21.73 eV/f.u.

Structure (extended XYZ):
```
12
Lattice="3.8456 0.0000 0.0000 -1.9228 6.9594 -0.1113 0.0000 -3.2572 9.0358" Properties=species:S:1:pos:R:3 pbc="T T T"
Cu 1.9228 1.1087 4.5078
Na 0.0000 -1.3768 8.9342
Cu 1.9228 -1.0923 5.6494
Sn 0.0000 0.6406 6.4738
Sn 1.9228 3.0616 2.4507
Sn 0.0000 3.6433 6.9689
Cu 0.0000 4.7945 3.2751
Cu 1.9228 4.1729 5.0413
Sn 1.9228 0.0589 1.9555
Na 1.9228 5.0791 -0.0098
Cu 0.0000 2.5935 4.4166
Cu 0.0000 -0.4707 3.8832
```